WSe2Cl: optimized geometry, PBE-GGA.

Lattice parameters (Å, degrees): 4.668 4.668 4.668 60.00 60.00 60.00
Each line ends with the local moment (μB).
Atoms (fractional coordinates):
Se: 0.250 0.250 0.250  -0.09
Se: 0.750 0.750 0.750  -0.09
W: 0.500 0.500 0.500  1.37
Cl: 0.000 0.000 0.000  0.02

Output
Distance to the lowest polymorph of the same formula in kJ per mole of atoms: 89.2
E_form (uncorrected) in meV per atom: 600
Space group: Fm-3m

=====

Pm2Nd5SmDy: optimized geometry, PBE-GGA.

Lattice parameters (Å, degrees): 8.823 8.823 10.196 115.64 115.64 90.00
Atoms (fractional coordinates):
Pm: 0.118 0.382 0.000
Pm: 0.618 0.118 0.000
Pm: 0.382 0.882 0.000
Pm: 0.882 0.618 0.000
Nd: 0.930 0.430 0.280
Nd: 0.650 0.150 0.720
Nd: 0.070 0.570 0.720
Nd: 0.150 0.070 0.720
Nd: 0.570 0.650 0.720
Nd: 0.850 0.930 0.280
Nd: 0.430 0.350 0.280
Nd: 0.350 0.850 0.280
Nd: 0.500 0.500 0.000
Nd: 0.000 0.000 0.000
Sm: 0.250 0.250 0.500
Sm: 0.750 0.750 0.500
Dy: 0.250 0.750 0.500
Dy: 0.750 0.250 0.500

Output
Space group: I4/mcm
Calculated formation energy in eV per atom: 0.27

=====

BaMnTl2Br8: optimized geometry, PBE-GGA.

Lattice parameters (Å, degrees): 6.364 8.597 9.130 89.82 90.01 114.41
Each line ends with the local moment (μB).
Atoms (fractional coordinates):
Ba: 0.000 0.000 0.500  0.00
Mn: 0.000 0.000 0.000  2.98
Tl: 0.506 0.498 0.758  0.01
Tl: 0.494 0.502 0.242  0.01
Br: 0.052 0.812 0.193  -0.04
Br: 0.590 0.822 0.997  0.00
Br: 0.941 0.185 0.192  -0.04
Br: 0.948 0.188 0.807  -0.04
Br: 0.410 0.178 0.003  0.00
Br: 0.059 0.815 0.808  -0.04
Br: 0.458 0.739 0.502  -0.01
Br: 0.542 0.261 0.498  -0.01

Output
E_form (uncorrected) in meV per atom: -1018
Space group: P-1

=====

PdCO: optimized geometry, PBE-GGA.

Lattice parameters (Å, degrees): 3.015 3.014 10.488 82.09 90.00 120.02
Atoms (fractional coordinates):
O: 0.113 0.225 0.146
O: 0.887 0.775 0.854
Pd: 0.370 0.741 0.383
Pd: 0.630 0.259 0.617
C: 0.924 0.847 0.741
C: 0.076 0.153 0.259

Output
E_form (uncorrected) in meV per atom: -379
Space group: C2/m

=====

CsIN2Cl: optimized geometry, PBE-GGA.

Lattice parameters (Å, degrees): 4.948 4.948 7.653 90.00 90.00 90.00
Each line ends with the local moment (μB).
Atoms (fractional coordinates):
Cs: 0.000 0.000 0.000  0.17
I: 0.000 0.000 0.500  0.02
N: 0.000 0.500 0.000  1.46
N: 0.500 0.000 0.000  1.46
Cl: 0.500 0.500 0.500  0.02

Output
Distance to the lowest polymorph of the same formula in kJ per mole of atoms: 52.6
E_form (uncorrected) in meV per atom: 1990
Space group: P4/mmm

=====

KLi4Ac: optimized geometry, PBE-GGA.

Lattice parameters (Å, degrees): 6.450 6.450 6.450 60.00 60.00 60.00
Each line ends with the local moment (μB).
Atoms (fractional coordinates):
Ac: 0.000 0.000 0.000  0.19
K: 0.250 0.250 0.250  0.02
Li: 0.626 0.626 0.123  0.02
Li: 0.626 0.123 0.626  0.02
Li: 0.626 0.626 0.626  0.02
Li: 0.123 0.626 0.626  0.02

Output
Space group: F-43m
Calculated formation energy in eV per atom: 0.20

=====

K3Tm3PdO8: optimized geometry, PBE-GGA.

Lattice parameters (Å, degrees): 6.678 6.678 7.360 116.99 90.00 120.00
Atoms (fractional coordinates):
K: 0.000 0.000 0.000
K: 0.000 0.500 0.000
K: 0.500 0.500 0.000
Tm: 0.500 0.000 0.500
Tm: 0.500 0.500 0.500
Tm: 0.000 0.500 0.500
Pd: 0.000 0.000 0.500
O: 0.274 0.547 0.321
O: 0.726 0.453 0.679
O: 0.785 0.570 0.325
O: 0.215 0.430 0.675
O: 0.785 0.040 0.325
O: 0.215 0.960 0.675
O: 0.255 0.040 0.325
O: 0.745 0.960 0.675

Output
E_form (uncorrected) in meV per atom: -2353
Space group: R-3m

=====

BaPaTaN4: optimized geometry, PBE-GGA.

Lattice parameters (Å, degrees): 5.716 5.863 7.244 90.00 113.24 90.00
Atoms (fractional coordinates):
Ba: 0.600 0.750 0.199
Ba: 0.400 0.250 0.801
Pa: 0.115 0.250 0.230
Pa: 0.885 0.750 0.770
Ta: 0.267 0.750 0.533
Ta: 0.733 0.250 0.467
N: 0.965 0.250 0.930
N: 0.407 0.750 0.814
N: 0.035 0.750 0.070
N: 0.593 0.250 0.186
N: 0.500 0.500 0.500
N: 0.000 0.000 0.500
N: 0.500 0.000 0.500
N: 0.000 0.500 0.500

Output
E_form (uncorrected) in meV per atom: -1022
Space group: Cmcm